No. 1
## Sm3Br7Cl (PBE)

Data for a relaxed Sm3Br7Cl crystal.

Cell: 7.0327 8.3523 8.3523 Å, 120.00 90.00 90.00°
Element x y z (fractional)
1 Br 0.0127 0.6563 0.8281
2 Br 0.0213 0.6667 0.3333
3 Br 0.5491 0.8278 0.6556
4 Br 0.5491 0.3444 0.1722
5 Br 0.5491 0.8278 0.1722
6 Sm 0.7801 0.4990 0.9980
7 Sm 0.7801 0.0020 0.5010
8 Cl 0.5680 0.3333 0.6667
9 Br 0.0127 0.1719 0.3437
10 Br 0.0127 0.1719 0.8281
11 Sm 0.7801 0.4990 0.5010

- VASP energy: -47.7 eV/cell
- Uncorrected formation energy: -20.01 eV/f.u.
- Total moment: 0.00 μB/f.u.

***

No. 2
## RbCoOs (PBE)

Data for a relaxed RbCoOs crystal.

Cell: 4.6612 4.6612 8.0314 Å, 90.00 90.00 120.00°
Element x y z (fractional)
1 Rb 0.6667 0.3333 0.5000
2 Co 0.3333 0.6667 0.6497
3 Os 0.0000 0.0000 0.6451
4 Rb 0.6667 0.3333 0.0000
5 Os 0.0000 0.0000 0.3549
6 Co 0.3333 0.6667 0.3503

- VASP energy: -29.2 eV/cell
- Total moment: 1.02 μB/f.u.
- Energy of formation from the pure elements: 1.57 eV per atom
- Offset from the most stable computed form: 916 meV/atom

***

No. 3
## AlTl3Si (PBE)

Data for a relaxed AlTl3Si crystal.

Cell: 5.3701 5.3701 5.3701 Å, 90.00 90.00 90.00°
Element x y z (fractional)
1 Tl 0.0000 0.5000 0.0000
2 Tl 0.5000 0.0000 0.0000
3 Si 0.0000 0.0000 0.0000
4 Al 0.5000 0.5000 0.5000
5 Tl 0.0000 0.0000 0.5000

- VASP energy: -13.2 eV/cell
- Uncorrected formation energy: 3.11 eV/f.u.
- Total moment: 0.00 μB/f.u.
- Offset from the most stable computed form: 0 meV/atom

***

No. 4
## Mg2Ru (PBE)

Data for a relaxed Mg2Ru crystal.

Cell: 2.7488 6.8607 6.8930 Å, 90.00 90.00 90.00°
Element x y z (fractional)
1 Ru 0.0000 0.0000 0.0000
2 Mg 0.0000 0.2587 0.2663
3 Mg 0.5000 0.7587 0.2337
4 Ru 0.5000 0.5000 0.5000
5 Mg 0.0000 0.7413 0.7337
6 Mg 0.5000 0.2413 0.7663

- VASP energy: -23.1 eV/cell
- Total moment: 0.00 μB/f.u.
- Energy of formation from the pure elements: 0.31 eV per atom

***

No. 5
## MgV2SCl (PBE)

Data for a relaxed MgV2SCl crystal.

Cell: 5.1962 4.4776 5.1962 Å, 90.00 90.00 90.00°
Element x y z (fractional)
1 Cl 0.0000 0.5000 0.0000
2 Mg 0.0000 0.0000 0.0000
3 S 0.5000 0.5000 0.5000
4 V 0.0000 0.0000 0.5000
5 V 0.5000 0.0000 0.0000

- VASP energy: -20.4 eV/cell
- Uncorrected formation energy: 5.39 eV/f.u.
- Total moment: 6.71 μB/f.u.
- Offset from the most stable computed form: 65 meV/atom

***

No. 6
## TlTeAu2 (PBE)

Data for a relaxed TlTeAu2 crystal.

Cell: 5.1366 5.1366 5.1366 Å, 60.00 60.00 60.00°
Element x y z (fractional)
1 Te 0.5000 0.5000 0.5000
2 Au 0.0000 0.0000 0.0000
3 Au 0.2500 0.2500 0.2500
4 Tl 0.7500 0.7500 0.7500

- VASP energy: -11.2 eV/cell
- Uncorrected formation energy: 0.88 eV/f.u.
- Total moment: 0.00 μB/f.u.
- Offset from the most stable computed form: 235 meV/atom

***

No. 7
## Pa2Si3PdPt4 (PBE)

Data for a relaxed Pa2Si3PdPt4 crystal.

Cell: 4.0446 4.0446 10.8939 Å, 90.00 90.00 90.00°
Element x y z (fractional)
1 Si 0.5000 0.0000 0.8752
2 Pd 0.5000 0.5000 0.5000
3 Pt 0.5000 0.0000 0.6621
4 Si 0.0000 0.0000 0.5000
5 Pa 0.0000 0.5000 0.7452
6 Pa 0.5000 0.0000 0.2548
7 Pt 0.0000 0.5000 0.3379
8 Pt 0.0000 0.0000 0.0000
9 Pt 0.5000 0.5000 0.0000
10 Si 0.0000 0.5000 0.1248

- VASP energy: -73.3 eV/cell
- Uncorrected formation energy: -8.68 eV/f.u.
- Total moment: 0.00 μB/f.u.

***

No. 8
## VZn4Pd15 (PBE)

Data for a relaxed VZn4Pd15 crystal.

Cell: 3.9066 3.9066 19.5566 Å, 90.00 90.00 90.00°
Element x y z (fractional)
1 Zn 0.0000 0.0000 0.3992
2 Pd 0.5000 0.5000 0.4001
3 Pd 0.5000 0.5000 0.5999
4 Pd 0.5000 0.0000 0.2994
5 Pd 0.0000 0.5000 0.2994
6 Pd 0.5000 0.0000 0.0964
7 Pd 0.0000 0.5000 0.0964
8 Pd 0.5000 0.5000 0.8022
9 Pd 0.5000 0.0000 0.5000
10 Zn 0.0000 0.0000 0.6008
11 V 0.0000 0.0000 0.0000
12 Pd 0.5000 0.5000 0.0000
13 Pd 0.5000 0.0000 0.7006
14 Pd 0.5000 0.0000 0.9036
15 Pd 0.0000 0.5000 0.5000
16 Pd 0.0000 0.5000 0.9036
17 Pd 0.0000 0.5000 0.7006
18 Pd 0.5000 0.5000 0.1978
19 Zn 0.0000 0.0000 0.7994
20 Zn 0.0000 0.0000 0.2006

- VASP energy: -98.2 eV/cell
- Total moment: 0.00 μB/f.u.
- Energy of formation from the pure elements: -0.31 eV per atom

***

No. 9
## Ir2Rh (PBE)

Data for a relaxed Ir2Rh crystal.

Cell: 9.3729 9.3729 9.3729 Å, 159.96 159.96 28.49°
Element x y z (fractional)
1 Ir 0.4279 0.4279 0.0000
2 Ir 0.3221 0.8221 0.5000
3 Rh 0.7500 0.2500 0.5000
4 Ir 0.5721 0.5721 0.0000
5 Rh 0.0000 0.0000 0.0000
6 Ir 0.1779 0.6779 0.5000

- VASP energy: -46.6 eV/cell
- Total moment: 0.00 μB/f.u.
- Energy of formation from the pure elements: 0.59 eV per atom
- Offset from the most stable computed form: 602 meV/atom

***

No. 10
## YSc2Co9 (PBE)

Data for a relaxed YSc2Co9 crystal.

Cell: 4.8958 4.8958 8.4043 Å, 73.07 73.07 60.00°
Element x y z (fractional)
1 Sc 0.8587 0.8587 0.4238
2 Co 0.5000 0.5000 0.5000
3 Co 0.5872 0.0781 0.7475
4 Co 0.9219 0.4128 0.2525
5 Co 0.4128 0.9219 0.2525
6 Co 0.0781 0.5872 0.7475
7 Co 0.5872 0.5872 0.7475
8 Co 0.4128 0.4128 0.2525
9 Co 0.6646 0.6646 0.0063
10 Co 0.3354 0.3354 0.9937
11 Y 0.0000 0.0000 0.0000
12 Sc 0.1413 0.1413 0.5762

- VASP energy: -86.1 eV/cell
- Total moment: 10.68 μB/f.u.
- Energy of formation from the pure elements: -0.25 eV per atom

***

No. 11
## ScAlNi2 (PBE)

Data for a relaxed ScAlNi2 crystal.

Cell: 6.6950 6.6950 5.4793 Å, 52.34 52.34 90.00°
Element x y z (fractional)
1 Al 0.5000 0.5000 0.0000
2 Ni 0.3750 0.3998 0.7500
3 Sc 0.7500 0.2500 0.5000
4 Sc 0.0000 0.0000 0.0000
5 Ni 0.1498 0.6250 0.2500
6 Al 0.2500 0.7500 0.5000
7 Ni 0.8750 0.8502 0.7500
8 Ni 0.6002 0.1250 0.2500

- VASP energy: -44.2 eV/cell
- Total moment: 0.00 μB/f.u.
- Energy of formation from the pure elements: -0.12 eV per atom

***

No. 12
## PmPr2Nd5Mg (PBE)

Data for a relaxed PmPr2Nd5Mg crystal.

Cell: 5.6355 10.6028 10.8673 Å, 90.00 90.00 105.41°
Element x y z (fractional)
1 Nd 0.2878 0.5756 0.3109
2 Pr 0.1151 0.2302 0.2986
3 Pm 0.1995 0.3989 0.0084
4 Pr 0.8849 0.7698 0.7986
5 Mg 0.4053 0.8106 0.5079
6 Nd 0.6196 0.2393 0.5082
7 Nd 0.5001 0.0001 0.2580
8 Nd 0.4999 0.9999 0.7580
9 Pr 0.1153 0.2306 0.7180
10 Mg 0.5947 0.1894 0.0079
11 Nd 0.3804 0.7607 0.0082
12 Nd 0.2882 0.5764 0.7058
13 Nd 0.7118 0.4236 0.2058
14 Nd 0.9865 0.9729 0.5082
15 Nd 0.7122 0.4244 0.8109
16 Nd 0.0135 0.0271 0.0082
17 Pr 0.8847 0.7694 0.2180
18 Pm 0.8005 0.6011 0.5084

- VASP energy: -78.0 eV/cell
- Total moment: 0.00 μB/f.u.
- Energy of formation from the pure elements: 0.08 eV per atom

***

No. 13
## TbSc3Tl4 (PBE)

Data for a relaxed TbSc3Tl4 crystal.

Cell: 5.1922 7.2748 10.3848 Å, 90.00 90.00 90.00°
Element x y z (fractional)
1 Sc 0.4984 0.0000 0.2500
2 Tl 0.9984 0.2411 0.2500
3 Tl 0.0016 0.2411 0.7500
4 Tl 0.5000 0.7590 0.0000
5 Tl 0.5000 0.2410 0.0000
6 Tb 0.0000 0.5000 0.5000
7 Tl 0.9984 0.7589 0.2500
8 Sc 0.5010 0.5000 0.7500
9 Tl 0.5000 0.7590 0.5000
10 Sc 0.0000 0.0000 0.5000
11 Sc 0.0000 0.0000 0.0000
12 Sc 0.5016 0.0000 0.7500
13 Sc 0.4990 0.5000 0.2500
14 Tb 0.0000 0.5000 0.0000
15 Tl 0.0016 0.7589 0.7500
16 Tl 0.5000 0.2410 0.5000

- VASP energy: -70.5 eV/cell
- Total moment: 0.00 μB/f.u.
- Energy of formation from the pure elements: -0.27 eV per atom

***

No. 14
## HfAgP2S (PBE)

Data for a relaxed HfAgP2S crystal.

Cell: 4.6786 4.6786 4.7429 Å, 90.00 90.00 90.00°
Element x y z (fractional)
1 S 0.0000 0.0000 0.5000
2 Ag 0.0000 0.0000 0.0000
3 P 0.5000 0.0000 0.0000
4 P 0.0000 0.5000 0.0000
5 Hf 0.5000 0.5000 0.5000

- VASP energy: -23.7 eV/cell
- Uncorrected formation energy: 4.07 eV/f.u.
- Total moment: 0.00 μB/f.u.
- Offset from the most stable computed form: 595 meV/atom

***

No. 15
## Ba3GePb (PBE)

Data for a relaxed Ba3GePb crystal.

Cell: 6.3226 6.3226 6.3226 Å, 90.00 90.00 90.00°
Element x y z (fractional)
1 Pb 0.5000 0.5000 0.5000
2 Ba 0.0000 0.5000 0.0000
3 Ba 0.0000 0.0000 0.5000
4 Ba 0.5000 0.0000 0.0000
5 Ge 0.0000 0.0000 0.0000

- VASP energy: -15.2 eV/cell
- Total moment: 1.31 μB/f.u.
- Energy of formation from the pure elements: -0.21 eV per atom
- Offset from the most stable computed form: 0 meV/atom

***

No. 16
## Tl2CdRe (PBE)

Data for a relaxed Tl2CdRe crystal.

Cell: 2.9879 2.9879 11.7077 Å, 90.00 90.00 116.79°
Element x y z (fractional)
1 Re 0.5000 0.5000 0.7500
2 Tl 0.0000 0.0000 0.9681
3 Tl 0.0000 0.0000 0.5319
4 Cd 0.5000 0.5000 0.2500

- VASP energy: -15.1 eV/cell
- Total moment: 0.00 μB/f.u.
- Energy of formation from the pure elements: 0.75 eV per atom
- Offset from the most stable computed form: 95 meV/atom

***

No. 17
## Ba2Cd2Pt (PBE)

Data for a relaxed Ba2Cd2Pt crystal.

Cell: 6.5976 6.5976 6.1768 Å, 57.72 57.72 90.00°
Element x y z (fractional)
1 Cd 0.6673 0.6673 0.6654
2 Ba 0.7500 0.2500 0.5000
3 Pt 0.0000 0.0000 0.0000
4 Cd 0.3327 0.3327 0.3346
5 Ba 0.2500 0.7500 0.5000

- VASP energy: -12.5 eV/cell
- Total moment: 0.00 μB/f.u.
- Energy of formation from the pure elements: -0.16 eV per atom
- Offset from the most stable computed form: 337 meV/atom

***

No. 18
## Mn2CoP (PBE)

Data for a relaxed Mn2CoP crystal.

Cell: 4.0766 4.0766 2.8647 Å, 90.00 90.00 105.90°
Element x y z (fractional)
1 Mn 0.0000 0.0000 0.0000
2 Mn 0.5000 0.5000 0.0000
3 P 0.5000 0.0000 0.5000
4 Co 0.0000 0.5000 0.5000

- VASP energy: -31.4 eV/cell
- Total moment: 5.53 μB/f.u.
- Energy of formation from the pure elements: -0.12 eV per atom

***

No. 19
## CaSc2Si (PBE)

Data for a relaxed CaSc2Si crystal.

Cell: 5.7800 5.7800 5.7800 Å, 136.68 136.68 62.93°
Element x y z (fractional)
1 Sc 0.0000 0.0000 0.0000
2 Sc 0.2500 0.7500 0.5000
3 Si 0.5000 0.5000 0.0000
4 Ca 0.7500 0.2500 0.5000

- VASP energy: -20.6 eV/cell
- Uncorrected formation energy: -0.50 eV/f.u.
- Total moment: 0.00 μB/f.u.

***

No. 20
## Y3LuF (PBE)

Data for a relaxed Y3LuF crystal.

Cell: 5.0358 5.0358 5.0358 Å, 90.00 90.00 90.00°
Element x y z (fractional)
1 Y 0.0000 0.5000 0.0000
2 Y 0.0000 0.0000 0.5000
3 F 0.0000 0.0000 0.0000
4 Lu 0.5000 0.5000 0.5000
5 Y 0.5000 0.0000 0.0000

- VASP energy: -30.3 eV/cell
- Uncorrected formation energy: -4.56 eV/f.u.
- Total moment: 0.00 μB/f.u.